HgB4W: optimized geometry, PBE-GGA.

As for the magnetization: 0.00 μB/f.u. The final energy is -6.5908 eV/atom. As for the polymorph energy (0 for the lowest one): 0 meV per atom.

The space group is P6/mmm (No. 191) and the conventional cell measures 2.9758, 2.9758 and 9.6193 Å, with angles of 90.00, 90.00 and 120.00 degrees. The asymmetric unit holds Hg at (0.0000, 0.0000, 0.0000), B at (0.3333, 0.6667, 0.3279) and W at (0.0000, 0.0000, 0.5000).